one:
Compound: InRe2S
Source: the Alexandria database
Functional: PBE
Structure: optimized geometry

abc: 6.310 6.310 6.310
angles: 90.00 90.00 90.00
Space group Fm-3m (No. 225)
Inequivalent atoms, fractional coordinates:
In 0.000 0.000 0.000 (multiplicity 4)
Re 0.250 0.250 0.250 (multiplicity 8)
S 0.000 0.000 0.500 (multiplicity 4)

The calculated volume is 251.3 Å³ per cell.

two:
Compound: InRe2S
Source: the Alexandria database
Functional: PBE
Structure: optimized geometry

abc: 7.155 7.155 5.381
angles: 90.00 90.00 90.00
Space group I-42d (No. 122)
Inequivalent atoms, fractional coordinates:
In 0.000 0.000 0.000 (multiplicity 4)
Re 0.166 0.750 0.625 (multiplicity 8)
S 0.000 0.000 0.500 (multiplicity 4)

The calculated volume is 275.5 Å³ per cell.

Last place for stability: one

one:
Compound: InRe3S
Source: the Alexandria database
Functional: PBE
Structure: optimized geometry

abc: 4.404 4.404 4.404
angles: 90.00 90.00 90.00
Space group Pm-3m (No. 221)
Inequivalent atoms, fractional coordinates:
In 0.000 0.000 0.000 (multiplicity 1)
Re 0.000 0.500 0.500 (multiplicity 3)
S 0.500 0.500 0.500 (multiplicity 1)

The calculated volume is 85.4 Å³ per cell.

two:
Compound: InRe3S
Source: the Alexandria database
Functional: PBE
Structure: optimized geometry

abc: 4.880 4.880 4.880
angles: 90.00 90.00 90.00
Space group Pm-3m (No. 221)
Inequivalent atoms, fractional coordinates:
In 0.000 0.000 0.000 (multiplicity 1)
Re 0.000 0.000 0.500 (multiplicity 3)
S 0.500 0.500 0.500 (multiplicity 1)

The calculated volume is 116.2 Å³ per cell.

Last place for stability: two

one:
Compound: In2Re2S
Source: the Alexandria database
Functional: PBE
Structure: optimized geometry

abc: 3.865 3.865 13.286
angles: 90.00 90.00 90.00
Space group I4/mmm (No. 139)
Inequivalent atoms, fractional coordinates:
In 0.000 0.500 0.250 (multiplicity 4)
Re 0.000 0.000 0.090 (multiplicity 4)
S 0.000 0.000 0.500 (multiplicity 2)

The calculated volume is 198.4 Å³ per cell.

two:
Compound: In2Re2S
Source: the Alexandria database
Functional: PBE
Structure: optimized geometry

abc: 6.169 6.169 4.830
angles: 90.00 90.00 90.00
Space group P4/mbm (No. 127)
Inequivalent atoms, fractional coordinates:
In 0.175 0.325 0.000 (multiplicity 4)
Re 0.145 0.645 0.500 (multiplicity 4)
S 0.000 0.000 0.500 (multiplicity 2)

The calculated volume is 183.8 Å³ per cell.

Last place for stability: one

one:
Compound: In2Re2Sb
Source: the Alexandria database
Functional: PBE
Structure: optimized geometry

abc: 8.481 8.481 2.819
angles: 90.00 90.00 90.00
Space group P4/mbm (No. 127)
Inequivalent atoms, fractional coordinates:
In 0.157 0.343 0.000 (multiplicity 4)
Re 0.137 0.637 0.500 (multiplicity 4)
Sb 0.000 0.000 0.000 (multiplicity 2)

The calculated volume is 202.7 Å³ per cell.

two:
Compound: In2Re2Sb
Source: the Alexandria database
Functional: PBE
Structure: optimized geometry

abc: 3.587 3.587 17.656
angles: 90.00 90.00 90.00
Space group I4/mmm (No. 139)
Inequivalent atoms, fractional coordinates:
In 0.000 0.000 0.116 (multiplicity 4)
Re 0.000 0.500 0.250 (multiplicity 4)
Sb 0.000 0.000 0.500 (multiplicity 2)

The calculated volume is 227.2 Å³ per cell.

Last place for stability: one

one:
Compound: InReSbTe2
Source: the Alexandria database
Functional: PBE
Structure: optimized geometry

abc: 5.426 5.426 5.143
angles: 90.00 90.00 90.00
Space group P4/mmm (No. 123)
Inequivalent atoms, fractional coordinates:
In 0.000 0.000 0.000 (multiplicity 1)
Re 0.500 0.500 0.500 (multiplicity 1)
Sb 0.500 0.500 0.000 (multiplicity 1)
Te 0.000 0.500 0.500 (multiplicity 2)

The calculated volume is 151.4 Å³ per cell.

two:
Compound: InReSbTe2
Source: the Alexandria database
Functional: PBE
Structure: optimized geometry

abc: 5.599 5.599 5.652
angles: 90.00 90.00 90.00
Space group P4/mmm (No. 123)
Inequivalent atoms, fractional coordinates:
In 0.000 0.000 0.000 (multiplicity 1)
Re 0.500 0.500 0.500 (multiplicity 1)
Sb 0.000 0.000 0.500 (multiplicity 1)
Te 0.000 0.500 0.000 (multiplicity 2)

The calculated volume is 177.2 Å³ per cell.

Last place for stability: two

one:
Compound: InReSb2Te
Source: the Alexandria database
Functional: PBE
Structure: optimized geometry

abc: 5.080 5.080 5.955
angles: 90.00 90.00 90.00
Space group P4/mmm (No. 123)
Inequivalent atoms, fractional coordinates:
In 0.000 0.000 0.000 (multiplicity 1)
Re 0.500 0.500 0.500 (multiplicity 1)
Sb 0.000 0.500 0.500 (multiplicity 2)
Te 0.500 0.500 0.000 (multiplicity 1)

The calculated volume is 153.7 Å³ per cell.

two:
Compound: InReSb2Te
Source: the Alexandria database
Functional: PBE
Structure: optimized geometry

abc: 5.558 5.558 5.558
angles: 90.00 90.00 90.00
Space group P4/mmm (No. 123)
Inequivalent atoms, fractional coordinates:
In 0.000 0.000 0.000 (multiplicity 1)
Re 0.500 0.500 0.500 (multiplicity 1)
Sb 0.000 0.500 0.000 (multiplicity 2)
Te 0.000 0.000 0.500 (multiplicity 1)

The calculated volume is 171.7 Å³ per cell.

Last place for stability: two

one:
Compound: Sc3InRe
Source: the Alexandria database
Functional: PBE
Structure: optimized geometry

abc: 5.187 5.187 5.187
angles: 90.00 90.00 90.00
Space group Pm-3m (No. 221)
Inequivalent atoms, fractional coordinates:
Sc 0.000 0.000 0.500 (multiplicity 3)
In 0.000 0.000 0.000 (multiplicity 1)
Re 0.500 0.500 0.500 (multiplicity 1)

The calculated volume is 139.6 Å³ per cell.

two:
Compound: Sc3InRe
Source: the Alexandria database
Functional: PBE
Structure: optimized geometry

abc: 5.057 5.057 5.057
angles: 90.00 90.00 90.00
Space group Pm-3m (No. 221)
Inequivalent atoms, fractional coordinates:
Sc 0.000 0.000 0.500 (multiplicity 3)
In 0.500 0.500 0.500 (multiplicity 1)
Re 0.000 0.000 0.000 (multiplicity 1)

The calculated volume is 129.3 Å³ per cell.

Last place for stability: one

one:
Compound: InRe2Se
Source: the Alexandria database
Functional: PBE
Structure: optimized geometry

abc: 6.407 6.407 6.407
angles: 90.00 90.00 90.00
Space group Fm-3m (No. 225)
Inequivalent atoms, fractional coordinates:
In 0.000 0.000 0.000 (multiplicity 4)
Re 0.250 0.250 0.250 (multiplicity 8)
Se 0.000 0.000 0.500 (multiplicity 4)

The calculated volume is 263.0 Å³ per cell.

two:
Compound: InRe2Se
Source: the Alexandria database
Functional: PBE
Structure: optimized geometry

abc: 2.968 2.968 8.272
angles: 90.00 90.00 90.00
Space group P4mm (No. 99)
Inequivalent atoms, fractional coordinates:
In 0.000 0.000 0.000 (multiplicity 1)
Re 0.000 0.000 0.453 (multiplicity 1)
Re 0.500 0.500 0.248 (multiplicity 1)
Se 0.500 0.500 0.651 (multiplicity 1)

The calculated volume is 72.9 Å³ per cell.

Last place for stability: one